Entry 1:
# Pm3CoSi2 PBE-GGA optimized geometry
# Total moment = 0.00 Bohr magnetons per cell
# Uncorrected formation energy = -611 meV per atom
# Theoretical density = 6.54 g/cm3
# Fermi-level density of states = 0.52 states/eV/atom
data_Pm3CoSi2
_cell_length_a 11.7206
_cell_length_b 4.1723
_cell_length_c 11.4324
_cell_angle_alpha 90.00
_cell_angle_beta 90.00
_cell_angle_gamma 90.00
_symmetry_space_group_name_H-M 'P n m a'
_symmetry_Int_Tables_number 62
_symmetry_space_group_name_Hall '-P 2ac 2n'
loop_
_atom_site_label
_atom_site_type_symbol
_atom_site_fract_x
_atom_site_fract_y
_atom_site_fract_z
Pm1 Pm 0.0578 0.2500 0.1261
Pm2 Pm 0.1174 0.7500 0.5581
Pm3 Pm 0.2162 0.2500 0.7994
Co1 Co 0.1316 0.2500 0.3640
Si1 Si 0.0298 0.7500 0.3172
Si2 Si 0.1997 0.7500 0.9917

=====

Entry 2:
# PmCo4Si4 PBE-GGA optimized geometry
# Total moment = 0.00 Bohr magnetons per cell
# Uncorrected formation energy = -574 meV per atom
# Theoretical density = 6.43 g/cm3
# Fermi-level density of states = 0.72 states/eV/atom
data_PmCo4Si4
_cell_length_a 7.8331
_cell_length_b 7.8331
_cell_length_c 4.1484
_cell_angle_alpha 90.00
_cell_angle_beta 90.00
_cell_angle_gamma 90.00
_symmetry_space_group_name_H-M 'I 4/m'
_symmetry_Int_Tables_number 87
_symmetry_space_group_name_Hall '-I 4'
loop_
_atom_site_label
_atom_site_type_symbol
_atom_site_fract_x
_atom_site_fract_y
_atom_site_fract_z
Pm1 Pm 0.0000 0.0000 0.0000
Co1 Co 0.1085 0.6176 0.5000
Si1 Si 0.1601 0.2877 0.5000

=====

Entry 3:
# Pm3Co7Si2 PBE-GGA optimized geometry
# Total moment = 7.44 Bohr magnetons per cell
# Uncorrected formation energy = -358 meV per atom
# Theoretical density = 8.35 g/cm3
# Fermi-level density of states = 0.88 states/eV/atom
data_Pm3Co7Si2
_cell_length_a 5.2442
_cell_length_b 5.2442
_cell_length_c 22.6436
_cell_angle_alpha 90.00
_cell_angle_beta 90.00
_cell_angle_gamma 120.00
_symmetry_space_group_name_H-M 'R -3 m'
_symmetry_Int_Tables_number 166
_symmetry_space_group_name_Hall '-R 3 2"'
loop_
_atom_site_label
_atom_site_type_symbol
_atom_site_fract_x
_atom_site_fract_y
_atom_site_fract_z
Pm1 Pm 0.0000 0.0000 0.0000
Pm2 Pm 0.0000 0.0000 0.1420
Co1 Co 0.0000 0.0000 0.5000
Co2 Co 0.0079 0.5040 0.0775
Si1 Si 0.0000 0.0000 0.3318

=====

Entry 4:
# Pm4CoSi PBE-GGA optimized geometry
# Total moment = 0.00 Bohr magnetons per cell
# Uncorrected formation energy = -183 meV per atom
# Theoretical density = 6.43 g/cm3
# Fermi-level density of states = 1.20 states/eV/atom
data_Pm4CoSi
_cell_length_a 7.0888
_cell_length_b 6.9938
_cell_length_c 6.9564
_cell_angle_alpha 90.00
_cell_angle_beta 92.76
_cell_angle_gamma 90.00
_symmetry_space_group_name_H-M 'P 1 21/c 1'
_symmetry_Int_Tables_number 14
_symmetry_space_group_name_Hall '-P 2ybc'
loop_
_atom_site_label
_atom_site_type_symbol
_atom_site_fract_x
_atom_site_fract_y
_atom_site_fract_z
Pm1 Pm 0.1565 0.1678 0.1802
Pm2 Pm 0.3208 0.6585 0.1440
Co1 Co 0.0000 0.0000 0.5000
Si1 Si 0.5000 0.0000 0.0000

=====

Entry 5:
# PmCo3Si3 PBE-GGA optimized geometry
# Total moment = 0.00 Bohr magnetons per cell
# Uncorrected formation energy = -307 meV per atom
# Theoretical density = 5.93 g/cm3
# Distance to the lowest polymorph of the same formula = 0 meV per atom
# Fermi-level density of states = 1.04 states/eV/atom
data_PmCo3Si3
_cell_length_a 6.1771
_cell_length_b 6.1771
_cell_length_c 20.6289
_cell_angle_alpha 90.00
_cell_angle_beta 90.00
_cell_angle_gamma 120.00
_symmetry_space_group_name_H-M 'R -3'
_symmetry_Int_Tables_number 148
_symmetry_space_group_name_Hall '-R 3'
loop_
_atom_site_label
_atom_site_type_symbol
_atom_site_fract_x
_atom_site_fract_y
_atom_site_fract_z
Pm1 Pm 0.0000 0.0000 0.1695
Co1 Co 0.0336 0.2880 0.7068
Si1 Si 0.0315 0.2753 0.5959

=====

Entry 6:
# Pm2CoSi6 PBE-GGA optimized geometry
# Total moment = 0.00 Bohr magnetons per cell
# Uncorrected formation energy = -424 meV per atom
# Theoretical density = 5.61 g/cm3
# Fermi-level density of states = 0.37 states/eV/atom
data_Pm2CoSi6
_cell_length_a 5.8047
_cell_length_b 5.8047
_cell_length_c 5.2466
_cell_angle_alpha 90.00
_cell_angle_beta 90.00
_cell_angle_gamma 120.00
_symmetry_space_group_name_H-M 'P -3 m 1'
_symmetry_Int_Tables_number 164
_symmetry_space_group_name_Hall '-P 3 2"'
loop_
_atom_site_label
_atom_site_type_symbol
_atom_site_fract_x
_atom_site_fract_y
_atom_site_fract_z
Pm1 Pm 0.3333 0.6667 0.3556
Co1 Co 0.0000 0.0000 0.5000
Si1 Si 0.1664 0.3328 0.8209

=====

Entry 7:
# PmCo2Si5 PBE-GGA optimized geometry
# Total moment = 0.00 Bohr magnetons per cell
# Uncorrected formation energy = -416 meV per atom
# Theoretical density = 5.67 g/cm3
# Fermi-level density of states = 0.48 states/eV/atom
data_PmCo2Si5
_cell_length_a 3.8925
_cell_length_b 6.4895
_cell_length_c 9.3469
_cell_angle_alpha 90.00
_cell_angle_beta 90.00
_cell_angle_gamma 90.00
_symmetry_space_group_name_H-M 'I m m m'
_symmetry_Int_Tables_number 71
_symmetry_space_group_name_Hall '-I 2 2'
loop_
_atom_site_label
_atom_site_type_symbol
_atom_site_fract_x
_atom_site_fract_y
_atom_site_fract_z
Pm1 Pm 0.0000 0.0000 0.0000
Co1 Co 0.0000 0.5000 0.2275
Si1 Si 0.0000 0.1926 0.3463
Si2 Si 0.0000 0.5000 0.0000

=====

Entry 8:
# Pm2Co3Si5 PBE-GGA optimized geometry
# Total moment = 1.69 Bohr magnetons per cell
# Uncorrected formation energy = -740 meV per atom
# Theoretical density = 6.53 g/cm3
# Fermi-level density of states = 0.51 states/eV/atom
data_Pm2Co3Si5
_cell_length_a 10.9292
_cell_length_b 11.5571
_cell_length_c 5.5879
_cell_angle_alpha 90.00
_cell_angle_beta 118.97
_cell_angle_gamma 90.00
_symmetry_space_group_name_H-M 'C 1 2/c 1'
_symmetry_Int_Tables_number 15
_symmetry_space_group_name_Hall '-C 2yc'
loop_
_atom_site_label
_atom_site_type_symbol
_atom_site_fract_x
_atom_site_fract_y
_atom_site_fract_z
Pm1 Pm 0.2349 0.1340 0.2372
Co1 Co 0.0000 0.4955 0.7500
Co2 Co 0.0998 0.1370 0.6255
Si1 Si 0.0000 0.0104 0.2500
Si2 Si 0.0000 0.2678 0.2500
Si3 Si 0.0000 0.2826 0.7500
Si4 Si 0.1581 0.3992 0.1612

=====

Entry 9:
# PmCo2Si PBE-GGA optimized geometry
# Total moment = 0.00 Bohr magnetons per cell
# Uncorrected formation energy = -489 meV per atom
# Theoretical density = 7.35 g/cm3
# Distance to the lowest polymorph of the same formula = 0 meV per atom
# Fermi-level density of states = 0.48 states/eV/atom
data_PmCo2Si
_cell_length_a 3.9820
_cell_length_b 5.7712
_cell_length_c 5.7173
_cell_angle_alpha 90.00
_cell_angle_beta 90.00
_cell_angle_gamma 90.00
_symmetry_space_group_name_H-M 'P m m n'
_symmetry_Int_Tables_number 59
loop_
_symmetry_equiv_pos_as_xyz
'x,y,z'
'-x,-y,-z'
'-x+1/2,-y+1/2,z'
'x+1/2,y+1/2,-z'
'x+1/2,-y,-z'
'-x+1/2,y,z'
'-x,y+1/2,-z'
'x,-y+1/2,z'
loop_
_atom_site_label
_atom_site_type_symbol
_atom_site_fract_x
_atom_site_fract_y
_atom_site_fract_z
Pm1 Pm 0.2500 0.2500 0.1296
Co1 Co 0.2500 0.0430 0.6323
Si1 Si 0.2500 0.7500 0.3527

=====

Entry 10:
# Pm2Co3Si2 PBE-GGA optimized geometry
# Total moment = 0.00 Bohr magnetons per cell
# Uncorrected formation energy = -486 meV per atom
# Theoretical density = 7.32 g/cm3
# Fermi-level density of states = 0.99 states/eV/atom
data_Pm2Co3Si2
_cell_length_a 10.7416
_cell_length_b 3.7358
_cell_length_c 6.6940
_cell_angle_alpha 90.00
_cell_angle_beta 117.99
_cell_angle_gamma 90.00
_symmetry_space_group_name_H-M 'C 1 2/m 1'
_symmetry_Int_Tables_number 12
_symmetry_space_group_name_Hall '-C 2y'
loop_
_atom_site_label
_atom_site_type_symbol
_atom_site_fract_x
_atom_site_fract_y
_atom_site_fract_z
Pm1 Pm 0.1383 0.0000 0.2528
Co1 Co 0.0000 0.5000 0.5000
Co2 Co 0.1522 0.5000 0.9327
Si1 Si 0.1314 0.0000 0.7218

=====

Entry 11:
# Pm2Co12Si7 PBE-GGA optimized geometry
# Total moment = 1.13 Bohr magnetons per cell
# Uncorrected formation energy = -557 meV per atom
# Theoretical density = 7.38 g/cm3
# Fermi-level density of states = 0.73 states/eV/atom
data_Pm2Co12Si7
_cell_length_a 9.1782
_cell_length_b 9.1782
_cell_length_c 3.6833
_cell_angle_alpha 90.00
_cell_angle_beta 90.00
_cell_angle_gamma 120.00
_symmetry_space_group_name_H-M 'P -6'
_symmetry_Int_Tables_number 174
_symmetry_space_group_name_Hall 'P -6'
loop_
_atom_site_label
_atom_site_type_symbol
_atom_site_fract_x
_atom_site_fract_y
_atom_site_fract_z
Pm1 Pm 0.0000 0.0000 0.0000
Pm2 Pm 0.3333 0.6667 0.5000
Co1 Co 0.0447 0.7635 0.5000
Co2 Co 0.1037 0.3896 0.0000
Co3 Co 0.3907 0.2041 0.0000
Co4 Co 0.5507 0.1136 0.5000
Si1 Si 0.0592 0.6178 0.0000
Si2 Si 0.2712 0.0394 0.5000
Si3 Si 0.6667 0.3333 0.0000

=====

Entry 12:
# Pm2Co3Si9 PBE-GGA optimized geometry
# Total moment = 0.00 Bohr magnetons per cell
# Uncorrected formation energy = -378 meV per atom
# Theoretical density = 5.58 g/cm3
# Fermi-level density of states = 0.38 states/eV/atom
data_Pm2Co3Si9
_cell_length_a 12.1443
_cell_length_b 6.8275
_cell_length_c 11.1320
_cell_angle_alpha 90.00
_cell_angle_beta 111.81
_cell_angle_gamma 90.00
_symmetry_space_group_name_H-M 'C 1 2/c 1'
_symmetry_Int_Tables_number 15
_symmetry_space_group_name_Hall '-C 2yc'
loop_
_atom_site_label
_atom_site_type_symbol
_atom_site_fract_x
_atom_site_fract_y
_atom_site_fract_z
Pm1 Pm 0.1776 0.0912 0.2504
Co1 Co 0.0679 0.2494 0.4559
Co2 Co 0.2500 0.2500 0.0000
Si1 Si 0.0000 0.3868 0.2500
Si2 Si 0.0535 0.0982 0.9387
Si3 Si 0.1006 0.4321 0.0556
Si4 Si 0.1079 0.3010 0.7834
Si5 Si 0.2387 0.4135 0.4446

=====

Entry 13:
# PmCoSi3 PBE-GGA optimized geometry
# Total moment = 0.00 Bohr magnetons per cell
# Uncorrected formation energy = -539 meV per atom
# Theoretical density = 5.52 g/cm3
# Distance to the lowest polymorph of the same formula = 134 meV per atom
# Fermi-level density of states = 0.41 states/eV/atom
data_PmCoSi3
_cell_length_a 5.7559
_cell_length_b 5.4183
_cell_length_c 5.5589
_cell_angle_alpha 90.00
_cell_angle_beta 90.00
_cell_angle_gamma 90.00
_symmetry_space_group_name_H-M 'P m n 21'
_symmetry_Int_Tables_number 31
_symmetry_space_group_name_Hall 'P 2ac -2'
loop_
_atom_site_label
_atom_site_type_symbol
_atom_site_fract_x
_atom_site_fract_y
_atom_site_fract_z
Pm1 Pm 0.0000 0.1411 0.0000
Co1 Co 0.0000 0.6181 0.2722
Si1 Si 0.0000 0.9454 0.5090
Si2 Si 0.2195 0.3480 0.4926

=====

Entry 14:
# PmCoSi2 PBE-GGA optimized geometry
# Total moment = 0.00 Bohr magnetons per cell
# Uncorrected formation energy = -761 meV per atom
# Theoretical density = 6.31 g/cm3
# Distance to the lowest polymorph of the same formula = 0 meV per atom
# Fermi-level density of states = 0.53 states/eV/atom
data_PmCoSi2
_cell_length_a 3.9119
_cell_length_b 3.9119
_cell_length_c 15.5019
_cell_angle_alpha 90.00
_cell_angle_beta 90.00
_cell_angle_gamma 120.00
_symmetry_space_group_name_H-M 'R -3 m'
_symmetry_Int_Tables_number 166
_symmetry_space_group_name_Hall '-R 3 2"'
loop_
_atom_site_label
_atom_site_type_symbol
_atom_site_fract_x
_atom_site_fract_y
_atom_site_fract_z
Pm1 Pm 0.0000 0.0000 0.0000
Co1 Co 0.0000 0.0000 0.5000
Si1 Si 0.0000 0.0000 0.2055

=====

Entry 15:
# PmCoSi2 PBE-GGA optimized geometry
# Total moment = 0.00 Bohr magnetons per cell
# Uncorrected formation energy = -589 meV per atom
# Theoretical density = 6.51 g/cm3
# Distance to the lowest polymorph of the same formula = 172 meV per atom
# Fermi-level density of states = 0.38 states/eV/atom
data_PmCoSi2
_cell_length_a 7.5291
_cell_length_b 6.2665
_cell_length_c 5.6287
_cell_angle_alpha 90.00
_cell_angle_beta 90.00
_cell_angle_gamma 90.00
_symmetry_space_group_name_H-M 'P n m a'
_symmetry_Int_Tables_number 62
_symmetry_space_group_name_Hall '-P 2ac 2n'
loop_
_atom_site_label
_atom_site_type_symbol
_atom_site_fract_x
_atom_site_fract_y
_atom_site_fract_z
Pm1 Pm 0.0387 0.2500 0.1146
Co1 Co 0.1078 0.7500 0.3646
Si1 Si 0.1675 0.0622 0.6059

=====

Entry 16:
# PmCo3Si PBE-GGA optimized geometry
# Total moment = 4.88 Bohr magnetons per cell
# Uncorrected formation energy = -269 meV per atom
# Theoretical density = 7.39 g/cm3
# Fermi-level density of states = 1.27 states/eV/atom
data_PmCo3Si
_cell_length_a 4.7680
_cell_length_b 8.3153
_cell_length_c 7.9305
_cell_angle_alpha 90.00
_cell_angle_beta 90.00
_cell_angle_gamma 90.00
_symmetry_space_group_name_H-M 'I m m a'
_symmetry_Int_Tables_number 74
_symmetry_space_group_name_Hall '-I 2b 2'
loop_
_atom_site_label
_atom_site_type_symbol
_atom_site_fract_x
_atom_site_fract_y
_atom_site_fract_z
Pm1 Pm 0.0000 0.2500 0.0523
Co1 Co 0.0000 0.2500 0.6696
Co2 Co 0.2500 0.0189 0.7500
Si1 Si 0.0000 0.0000 0.5000

=====

Entry 17:
# PmCo4Si12 PBE-GGA optimized geometry
# Total moment = 0.00 Bohr magnetons per cell
# Uncorrected formation energy = -173 meV per atom
# Theoretical density = 4.57 g/cm3
# Fermi-level density of states = 0.67 states/eV/atom
data_PmCo4Si12
_cell_length_a 8.0488
_cell_length_b 8.0488
_cell_length_c 8.0488
_cell_angle_alpha 90.00
_cell_angle_beta 90.00
_cell_angle_gamma 90.00
_symmetry_space_group_name_H-M 'I m -3'
_symmetry_Int_Tables_number 204
_symmetry_space_group_name_Hall '-I 2 2 3'
loop_
_atom_site_label
_atom_site_type_symbol
_atom_site_fract_x
_atom_site_fract_y
_atom_site_fract_z
Pm1 Pm 0.0000 0.0000 0.0000
Co1 Co 0.2500 0.2500 0.2500
Si1 Si 0.0000 0.3496 0.1711

=====

Entry 18:
# PmCoSi2 PBE-GGA optimized geometry
# Total moment = 0.00 Bohr magnetons per cell
# Uncorrected formation energy = -746 meV per atom
# Theoretical density = 6.33 g/cm3
# Distance to the lowest polymorph of the same formula = 15 meV per atom
# Fermi-level density of states = 0.58 states/eV/atom
data_PmCoSi2
_cell_length_a 3.9828
_cell_length_b 16.7834
_cell_length_c 4.0847
_cell_angle_alpha 90.00
_cell_angle_beta 90.00
_cell_angle_gamma 90.00
_symmetry_space_group_name_H-M 'C m m m'
_symmetry_Int_Tables_number 65
_symmetry_space_group_name_Hall '-C 2 2'
loop_
_atom_site_label
_atom_site_type_symbol
_atom_site_fract_x
_atom_site_fract_y
_atom_site_fract_z
Pm1 Pm 0.0000 0.1446 0.0000
Co1 Co 0.0000 0.4272 0.5000
Si1 Si 0.0000 0.0000 0.5000
Si2 Si 0.0000 0.2917 0.5000
Si3 Si 0.0000 0.5000 0.0000

=====

Entry 19:
# Pm3Co2Si4 PBE-GGA optimized geometry
# Total moment = 0.00 Bohr magnetons per cell
# Uncorrected formation energy = -686 meV per atom
# Theoretical density = 6.27 g/cm3
# Distance to the lowest polymorph of the same formula = 28 meV per atom
# Fermi-level density of states = 0.92 states/eV/atom
data_Pm3Co2Si4
_cell_length_a 11.0721
_cell_length_b 3.9401
_cell_length_c 8.1796
_cell_angle_alpha 90.00
_cell_angle_beta 99.15
_cell_angle_gamma 90.00
_symmetry_space_group_name_H-M 'C 1 2/m 1'
_symmetry_Int_Tables_number 12
_symmetry_space_group_name_Hall '-C 2y'
loop_
_atom_site_label
_atom_site_type_symbol
_atom_site_fract_x
_atom_site_fract_y
_atom_site_fract_z
Pm1 Pm 0.0000 0.0000 0.0000
Pm2 Pm 0.1656 0.5000 0.6594
Co1 Co 0.1064 0.5000 0.2752
Si1 Si 0.0555 0.0000 0.3801
Si2 Si 0.2197 0.5000 0.0686